A plane-wave DFT calculation with PBE was carried out for a relaxed structure of LiUAs2.

The structure belongs to space group R-3m (No. 166, hexagonal axes); the cell edges are 3.0637, 3.0637 and 27.1216 Å and the angles 90.00°, 90.00° and 120.00°. Symmetry generates all atoms from Li at (0.0000, 0.0000, 0.0000), U at (0.0000, 0.0000, 0.5000) and As at (0.0000, 0.0000, 0.2565).

The density comes out at 8.92 Mg/m³. As for the uncorrected energy: -5.917 eV/atom. The calculation puts the relative energy among the computed polymorphs at 360 meV/atom.